Record 1
# DyNp2Pt9, relaxed, DFT PBE
# Total energy (eV per atom): -7.83
# Space group: No. 123
# Formation enthalpy at 0 K (eV/atom): -0.76
data_DyNp2Pt9
_chemical_formula_sum 'Dy1 Np2 Pt9'
_cell_length_a 4.139
_cell_length_b 4.139
_cell_length_c 12.441
_cell_angle_alpha 90.00
_cell_angle_beta 90.00
_cell_angle_gamma 90.00
_symmetry_space_group_name_H-M 'P 1'
_symmetry_Int_Tables_number 1
loop_
_symmetry_equiv_pos_as_xyz
'x,y,z'
loop_
_atom_site_label
_atom_site_fract_x
_atom_site_fract_y
_atom_site_fract_z
_atom_site_occupancy
Pt1 0.000 0.500 0.500 1
Np1 0.000 0.000 0.332 1
Pt2 0.500 0.000 0.167 1
Np2 0.000 0.000 0.668 1
Pt3 0.000 0.500 0.833 1
Pt4 0.500 0.000 0.500 1
Pt5 0.500 0.500 0.667 1
Pt6 0.500 0.000 0.833 1
Dy1 0.000 0.000 0.000 1
Pt7 0.000 0.500 0.167 1
Pt8 0.500 0.500 0.000 1
Pt9 0.500 0.500 0.333 1


Record 2
# AcGdSb2, relaxed, DFT PBE
# Total energy (eV per atom): -7.50
# Space group: No. 225
# Excess energy over the best structure of this formula in the dataset (eV per atom): 0.2777
# E_form (uncorrected) (kJ/mol of atoms): -86
data_AcGdSb2
_chemical_formula_sum 'Ac1 Gd1 Sb2'
_cell_length_a 5.610
_cell_length_b 5.610
_cell_length_c 5.610
_cell_angle_alpha 60.00
_cell_angle_beta 60.00
_cell_angle_gamma 60.00
_symmetry_space_group_name_H-M 'P 1'
_symmetry_Int_Tables_number 1
loop_
_symmetry_equiv_pos_as_xyz
'x,y,z'
loop_
_atom_site_label
_atom_site_fract_x
_atom_site_fract_y
_atom_site_fract_z
_atom_site_occupancy
Sb1 0.750 0.750 0.750 1
Gd1 0.000 0.000 0.000 1
Ac1 0.500 0.500 0.500 1
Sb2 0.250 0.250 0.250 1


Record 3
# AlSnPdRu, relaxed, DFT PBE
# Total energy (eV per atom): -5.94
# Space group: No. 216
# Formation enthalpy at 0 K (eV/atom): -0.39
data_AlSnPdRu
_chemical_formula_sum 'Al1 Sn1 Pd1 Ru1'
_cell_length_a 4.482
_cell_length_b 4.482
_cell_length_c 4.482
_cell_angle_alpha 60.00
_cell_angle_beta 60.00
_cell_angle_gamma 60.00
_symmetry_space_group_name_H-M 'P 1'
_symmetry_Int_Tables_number 1
loop_
_symmetry_equiv_pos_as_xyz
'x,y,z'
loop_
_atom_site_label
_atom_site_fract_x
_atom_site_fract_y
_atom_site_fract_z
_atom_site_occupancy
Ru1 0.750 0.750 0.750 1
Pd1 0.250 0.250 0.250 1
Al1 0.000 0.000 0.000 1
Sn1 0.500 0.500 0.500 1


Record 4
# GeIrO2, relaxed, DFT PBE
# Total energy (eV per atom): -6.27
# Space group: No. 166
# E_form (uncorrected) (kJ/mol of atoms): -41
data_GeIrO2
_chemical_formula_sum 'Ge1 Ir1 O2'
_cell_length_a 6.461
_cell_length_b 6.461
_cell_length_c 6.461
_cell_angle_alpha 28.40
_cell_angle_beta 28.40
_cell_angle_gamma 28.40
_symmetry_space_group_name_H-M 'P 1'
_symmetry_Int_Tables_number 1
loop_
_symmetry_equiv_pos_as_xyz
'x,y,z'
loop_
_atom_site_label
_atom_site_fract_x
_atom_site_fract_y
_atom_site_fract_z
_atom_site_occupancy
Ir1 0.500 0.500 0.500 1
O1 0.884 0.884 0.884 1
Ge1 0.000 0.000 0.000 1
O2 0.116 0.116 0.116 1


Record 5
# LiPW, relaxed, DFT PBE
# Total energy (eV per atom): -6.65
# Space group: No. 42
# Formation enthalpy at 0 K (eV/atom): 0.11
# Excess energy over the best structure of this formula in the dataset (eV per atom): 0.4805
data_LiPW
_chemical_formula_sum 'Li1 P1 W1'
_cell_length_a 6.655
_cell_length_b 6.451
_cell_length_c 2.810
_cell_angle_alpha 81.72
_cell_angle_beta 73.58
_cell_angle_gamma 24.70
_symmetry_space_group_name_H-M 'P 1'
_symmetry_Int_Tables_number 1
loop_
_symmetry_equiv_pos_as_xyz
'x,y,z'
loop_
_atom_site_label
_atom_site_fract_x
_atom_site_fract_y
_atom_site_fract_z
_atom_site_occupancy
W1 0.317 0.317 0.683 1
P1 0.675 0.675 0.325 1
Li1 0.008 0.008 0.992 1


Record 6
# SrCuPb2, relaxed, DFT PBE
# Total energy (eV per atom): -3.34
# Space group: No. 99
# Formation enthalpy at 0 K (eV/atom): -0.04
data_SrCuPb2
_chemical_formula_sum 'Sr1 Cu1 Pb2'
_cell_length_a 3.739
_cell_length_b 3.739
_cell_length_c 8.123
_cell_angle_alpha 90.00
_cell_angle_beta 90.00
_cell_angle_gamma 90.00
_symmetry_space_group_name_H-M 'P 1'
_symmetry_Int_Tables_number 1
loop_
_symmetry_equiv_pos_as_xyz
'x,y,z'
loop_
_atom_site_label
_atom_site_fract_x
_atom_site_fract_y
_atom_site_fract_z
_atom_site_occupancy
Pb1 0.500 0.500 0.230 1
Pb2 0.000 0.000 0.953 1
Sr1 0.000 0.000 0.534 1
Cu1 0.500 0.500 0.783 1


Record 7
# Pm4CoCuBr2, relaxed, DFT PBE
# Total energy (eV per atom): -4.89
# Space group: No. 10
# E_form (uncorrected) (kJ/mol of atoms): -67
data_Pm4CoCuBr2
_chemical_formula_sum 'Pm4 Co1 Cu1 Br2'
_cell_length_a 4.064
_cell_length_b 7.051
_cell_length_c 8.041
_cell_angle_alpha 106.88
_cell_angle_beta 90.00
_cell_angle_gamma 90.00
_symmetry_space_group_name_H-M 'P 1'
_symmetry_Int_Tables_number 1
loop_
_symmetry_equiv_pos_as_xyz
'x,y,z'
loop_
_atom_site_label
_atom_site_fract_x
_atom_site_fract_y
_atom_site_fract_z
_atom_site_occupancy
Pm1 0.500 0.254 0.198 1
Cu1 0.000 0.000 0.000 1
Pm2 0.000 0.276 0.805 1
Pm3 0.000 0.724 0.195 1
Br1 0.500 0.000 0.500 1
Co1 0.500 0.500 0.000 1
Pm4 0.500 0.746 0.802 1
Br2 0.000 0.500 0.500 1


Record 8
# Tb4Pr5Cd2, relaxed, DFT PBE
# Total energy (eV per atom): -4.03
# Space group: No. 10
# Formation enthalpy at 0 K (eV/atom): -0.01
data_Tb4Pr5Cd2
_chemical_formula_sum 'Tb4 Pr5 Cd2'
_cell_length_a 3.597
_cell_length_b 8.924
_cell_length_c 11.101
_cell_angle_alpha 94.99
_cell_angle_beta 90.00
_cell_angle_gamma 90.00
_symmetry_space_group_name_H-M 'P 1'
_symmetry_Int_Tables_number 1
loop_
_symmetry_equiv_pos_as_xyz
'x,y,z'
loop_
_atom_site_label
_atom_site_fract_x
_atom_site_fract_y
_atom_site_fract_z
_atom_site_occupancy
Pr1 0.000 0.457 0.678 1
Tb1 0.500 0.231 0.442 1
Tb2 0.500 0.769 0.558 1
Tb3 0.500 0.168 0.866 1
Cd1 0.000 0.069 0.634 1
Pr2 0.000 0.814 0.847 1
Pr3 0.000 0.500 0.000 1
Pr4 0.000 0.186 0.153 1
Tb4 0.500 0.832 0.134 1
Pr5 0.000 0.543 0.322 1
Cd2 0.000 0.931 0.366 1